DFT (SCAN) results for Ba2LaNbCl at its PBEsol-relaxed geometry.

a = 5.786 Å, b = 5.786 Å, c = 5.489 Å
α = 90.00°, β = 90.00°, γ = 90.00°
Fractional positions:
Ba 0.000 0.500 0.000
Ba 0.500 0.000 0.000
La 0.000 0.000 0.500
Nb 0.500 0.500 0.500
Cl 0.000 0.000 0.000

Summary:
Space group   No. 123
Size of the total moment   3.1 μB per cell
ΔE_f (raw)   -1 kJ/mol of atoms